Entry 1:
This record from the Alexandria database describes an optimized crystal structure of KErSnCl6. The functional is PBE-GGA.

Computed properties:
M_tot = 0.00 μB per formula unit
formation energy from raw total energies = -1.82 eV per atom
symmetry = No. 149
crystal system = trigonal

abc: 7.212 7.212 6.775
angles: 90.00 90.00 60.00
Sites, in units of the cell vectors:
Cl  0.024  0.623  0.722
Cl  0.354  0.024  0.722
Cl  0.024  0.354  0.278
Cl  0.354  0.623  0.278
Cl  0.622  0.354  0.722
Cl  0.623  0.024  0.278
K  0.000  0.000  0.000
Er  0.333  0.333  0.500
Sn  0.667  0.667  0.500

Entry 2:
This record from the Alexandria database describes an optimized crystal structure of KSrErCl6. The functional is PBE-GGA.

Computed properties:
M_tot = 0.00 μB per formula unit
formation energy from raw total energies = -2.31 eV per atom
symmetry = No. 163
crystal system = trigonal

abc: 7.319 7.319 13.260
angles: 90.00 90.00 120.00
Sites, in units of the cell vectors:
Cl  0.971  0.351  0.137
Cl  0.029  0.380  0.637
Cl  0.649  0.029  0.363
Cl  0.620  0.649  0.637
Cl  0.620  0.971  0.863
Cl  0.351  0.380  0.863
Cl  0.380  0.351  0.363
Cl  0.971  0.620  0.363
Cl  0.351  0.971  0.637
Cl  0.649  0.620  0.137
Cl  0.380  0.029  0.137
Cl  0.029  0.649  0.863
K  0.000  0.000  0.000
K  0.000  0.000  0.500
Er  0.667  0.333  0.250
Er  0.333  0.667  0.750
Sr  0.333  0.667  0.250
Sr  0.667  0.333  0.750

Entry 3:
This record from the Alexandria database describes an optimized crystal structure of KSr2ErCl8. The functional is PBE-GGA.

Computed properties:
M_tot = 0.00 μB per formula unit
formation energy from raw total energies = -2.32 eV per atom
symmetry = No. 10
crystal system = monoclinic

abc: 6.733 6.517 9.014
angles: 90.00 90.00 89.96
Sites, in units of the cell vectors:
Cl  0.163  0.779  0.210
Cl  0.837  0.221  0.790
Cl  0.163  0.779  0.790
Cl  0.637  0.728  0.500
Cl  0.313  0.258  0.000
Cl  0.687  0.742  0.000
Cl  0.837  0.221  0.210
Cl  0.363  0.272  0.500
Sr  0.500  0.500  0.752
Sr  0.500  0.500  0.248
K  0.000  0.000  0.500
Er  0.000  0.000  0.000

Entry 4:
This record from the Alexandria database describes an optimized crystal structure of K2ErTlCl6. The functional is PBE-GGA.

Computed properties:
M_tot = 0.00 μB per formula unit
formation energy from raw total energies = -1.94 eV per atom
symmetry = No. 146
crystal system = trigonal

abc: 7.712 7.712 8.027
angles: 61.29 61.29 60.00
Sites, in units of the cell vectors:
Cl  0.988  0.559  0.241
Cl  0.127  0.423  0.785
Cl  0.665  0.127  0.785
Cl  0.213  0.988  0.241
Cl  0.423  0.665  0.784
Cl  0.559  0.213  0.241
K  0.532  0.532  0.405
K  0.020  0.020  0.939
Er  0.323  0.323  0.031
Tl  0.812  0.812  0.565

Entry 5:
This record from the Alexandria database describes an optimized crystal structure of KErTl2Cl6. The functional is PBE-GGA.

Computed properties:
M_tot = 0.00 μB per formula unit
formation energy from raw total energies = -1.75 eV per atom
symmetry = No. 146
crystal system = trigonal

abc: 7.775 7.775 7.928
angles: 60.62 60.62 59.97
Sites, in units of the cell vectors:
Tl  0.534  0.534  0.398
Tl  0.028  0.028  0.916
Cl  0.001  0.561  0.251
Cl  0.561  0.188  0.251
Cl  0.122  0.441  0.785
Cl  0.441  0.652  0.785
Cl  0.653  0.121  0.785
Cl  0.187  0.001  0.251
Er  0.321  0.321  0.036
K  0.814  0.814  0.557

Entry 6:
This record from the Alexandria database describes an optimized crystal structure of KErVCl6. The functional is PBE-GGA.

Computed properties:
M_tot = 3.00 μB per formula unit
formation energy from raw total energies = -1.86 eV per atom
symmetry = No. 163
crystal system = trigonal

abc: 6.613 6.613 14.197
angles: 90.00 90.00 120.00
Each line ends with the local moment (μB).
Sites, in units of the cell vectors:
Cl  0.642  0.627  0.647  -0.01
Cl  0.642  0.015  0.853  -0.01
Cl  0.015  0.642  0.353  -0.01
Cl  0.358  0.373  0.353  -0.01
Cl  0.373  0.015  0.647  -0.01
Cl  0.358  0.985  0.147  -0.01
Cl  0.985  0.627  0.853  -0.01
Cl  0.627  0.985  0.353  -0.01
Cl  0.985  0.358  0.647  -0.01
Cl  0.373  0.358  0.853  -0.01
Cl  0.015  0.373  0.147  -0.01
Cl  0.627  0.642  0.147  -0.01
K  0.000  0.000  0.500  0.00
K  0.000  0.000  0.000  0.00
Er  0.333  0.667  0.750  0.02
Er  0.667  0.333  0.250  0.02
V  0.333  0.667  0.250  2.58
V  0.667  0.333  0.750  2.58

Entry 7:
This record from the Alexandria database describes an optimized crystal structure of KErZnCl6. The functional is PBE-GGA.

Computed properties:
M_tot = 0.00 μB per formula unit
formation energy from raw total energies = -1.83 eV per atom
symmetry = No. 163
crystal system = trigonal

abc: 6.681 6.681 13.934
angles: 90.00 90.00 120.00
Sites, in units of the cell vectors:
Cl  0.380  0.014  0.145
Cl  0.014  0.634  0.855
Cl  0.986  0.620  0.355
Cl  0.620  0.634  0.645
Cl  0.366  0.380  0.855
Cl  0.014  0.380  0.645
Cl  0.366  0.986  0.645
Cl  0.986  0.366  0.145
Cl  0.634  0.620  0.145
Cl  0.634  0.014  0.355
Cl  0.380  0.366  0.355
Cl  0.620  0.986  0.855
Er  0.333  0.667  0.250
Er  0.667  0.333  0.750
Zn  0.333  0.667  0.750
Zn  0.667  0.333  0.250
K  0.000  0.000  0.000
K  0.000  0.000  0.500

Entry 8:
This record from the Alexandria database describes an optimized crystal structure of LaEr2Cl. The functional is PBE-GGA.

Computed properties:
M_tot = 0.00 μB per formula unit
formation energy from raw total energies = -0.39 eV per atom
symmetry = No. 166
crystal system = trigonal

abc: 3.426 3.426 11.383
angles: 81.35 81.35 60.00
Sites, in units of the cell vectors:
Cl  0.500  0.500  0.500
Er  0.101  0.101  0.697
Er  0.899  0.899  0.303
La  0.000  0.000  0.000

Entry 9:
This record from the Alexandria database describes an optimized crystal structure of LaErCl6. The functional is PBE-GGA.

Computed properties:
M_tot = 0.00 μB per formula unit
formation energy from raw total energies = -2.30 eV per atom
symmetry = No. 12
crystal system = monoclinic

abc: 7.117 7.117 6.811
angles: 97.24 97.24 122.84
Sites, in units of the cell vectors:
Cl  0.408  0.125  0.262
Cl  0.875  0.592  0.738
Cl  0.746  0.746  0.261
Cl  0.254  0.254  0.739
Cl  0.125  0.408  0.262
Cl  0.592  0.875  0.738
Er  0.500  0.500  0.500
La  0.000  0.000  0.000

Entry 10:
This record from the Alexandria database describes an optimized crystal structure of LaErCl. The functional is PBE-GGA.

Computed properties:
M_tot = 0.49 μB per formula unit
formation energy from raw total energies = -0.90 eV per atom
symmetry = No. 156
crystal system = trigonal

abc: 7.394 3.691 3.691
angles: 120.00 90.00 90.00
Each line ends with the local moment (μB).
Sites, in units of the cell vectors:
La  0.679  0.667  0.333  0.08
Cl  0.023  0.000  0.000  0.00
Er  0.298  0.333  0.667  0.24

Entry 11:
This record from the Alexandria database describes an optimized crystal structure of La2ErCl. The functional is PBE-GGA.

Computed properties:
M_tot = 0.00 μB per formula unit
formation energy from raw total energies = -0.53 eV per atom
symmetry = No. 166
crystal system = trigonal

abc: 3.528 3.528 11.531
angles: 81.20 81.20 60.00
Sites, in units of the cell vectors:
Cl  0.500  0.500  0.500
La  0.902  0.902  0.295
La  0.098  0.098  0.705
Er  0.000  0.000  0.000

Entry 12:
This record from the Alexandria database describes an optimized crystal structure of LaErCl6. The functional is PBE-GGA.

Computed properties:
M_tot = 0.00 μB per formula unit
formation energy from raw total energies = -2.30 eV per atom
symmetry = No. 148
crystal system = trigonal

abc: 6.862 6.861 7.423
angles: 62.49 62.46 60.00
Sites, in units of the cell vectors:
Cl  0.261  0.887  0.258
Cl  0.594  0.260  0.258
Cl  0.113  0.406  0.742
Cl  0.887  0.594  0.258
Cl  0.406  0.740  0.742
Cl  0.739  0.113  0.742
La  0.000  0.000  0.000
Er  0.500  0.500  0.500

Entry 13:
This record from the Alexandria database describes an optimized crystal structure of Li2LaErCl8. The functional is PBE-GGA.

Computed properties:
M_tot = 0.00 μB per formula unit
formation energy from raw total energies = -2.11 eV per atom
symmetry = No. 10
crystal system = monoclinic

abc: 6.344 6.311 8.202
angles: 90.01 90.02 93.53
Sites, in units of the cell vectors:
Cl  0.681  0.689  0.500
Cl  0.808  0.200  0.235
Cl  0.319  0.311  0.500
Cl  0.696  0.702  0.000
Cl  0.304  0.298  0.000
Cl  0.808  0.200  0.765
Cl  0.192  0.800  0.765
Cl  0.192  0.800  0.235
Er  0.000  0.000  0.000
La  0.000  0.000  0.500
Li  0.500  0.500  0.236
Li  0.500  0.500  0.764

Entry 14:
This record from the Alexandria database describes an optimized crystal structure of La2ErN2Cl2. The functional is PBE-GGA.

Computed properties:
M_tot = 0.96 μB per formula unit
formation energy from raw total energies = -1.64 eV per atom
symmetry = No. 139
crystal system = tetragonal

abc: 4.486 4.486 8.323
angles: 105.63 105.63 90.00
Each line ends with the local moment (μB).
Sites, in units of the cell vectors:
N  0.500  0.000  0.000  -0.02
N  0.000  0.500  0.000  -0.02
La  0.402  0.402  0.803  0.33
La  0.598  0.598  0.197  0.33
Er  0.000  0.000  0.000  0.03
Cl  0.819  0.819  0.637  0.01
Cl  0.181  0.181  0.363  0.01

Entry 15:
This record from the Alexandria database describes an optimized crystal structure of LiErCl2. The functional is PBE-GGA.

Computed properties:
M_tot = 0.00 μB per formula unit
formation energy from raw total energies = -1.50 eV per atom
symmetry = No. 166
crystal system = trigonal

abc: 3.724 3.724 8.309
angles: 77.05 77.05 60.00
Sites, in units of the cell vectors:
Cl  0.892  0.892  0.325
Cl  0.108  0.108  0.675
Er  0.000  0.000  0.000
Li  0.500  0.500  0.500

Entry 16:
This record from the Alexandria database describes an optimized crystal structure of Li3ErCl6. The functional is PBE-GGA.

Computed properties:
M_tot = 0.00 μB per formula unit
formation energy from raw total energies = -1.98 eV per atom
symmetry = No. 150
excess energy over the best structure of this formula in the dataset = 0.000 eV per atom
crystal system = trigonal

abc: 11.147 11.147 6.133
angles: 90.00 90.00 120.00
Sites, in units of the cell vectors:
Cl  0.886  0.770  0.227
Cl  0.770  0.886  0.773
Cl  0.772  0.213  0.733
Cl  0.108  0.561  0.753
Cl  0.892  0.453  0.247
Cl  0.228  0.441  0.267
Cl  0.547  0.439  0.247
Cl  0.453  0.892  0.753
Cl  0.439  0.547  0.753
Cl  0.213  0.772  0.267
Cl  0.114  0.884  0.773
Cl  0.441  0.228  0.733
Cl  0.884  0.114  0.227
Cl  0.116  0.230  0.773
Cl  0.559  0.787  0.267
Cl  0.230  0.116  0.227
Cl  0.561  0.108  0.247
Cl  0.787  0.559  0.733
Li  0.000  0.679  0.500
Li  0.321  0.321  0.500
Li  0.000  0.342  0.000
Li  0.662  0.000  0.000
Li  0.000  0.662  0.000
Li  0.679  0.000  0.500
Li  0.658  0.658  0.000
Li  0.338  0.338  0.000
Li  0.342  0.000  0.000
Er  0.333  0.667  0.508
Er  0.667  0.333  0.492
Er  0.000  0.000  0.000

Entry 17:
This record from the Alexandria database describes an optimized crystal structure of Li4Er2Cl9. The functional is PBE-GGA.

Computed properties:
M_tot = 1.00 μB per formula unit
formation energy from raw total energies = -1.92 eV per atom
symmetry = No. 165
crystal system = trigonal

abc: 6.613 6.612 17.752
angles: 90.00 90.00 59.99
Each line ends with the local moment (μB).
Sites, in units of the cell vectors:
Er  0.000  0.000  0.657  0.38
Er  0.000  0.000  0.843  0.38
Er  0.000  0.000  0.343  0.38
Er  0.000  0.000  0.157  0.38
Cl  0.358  0.663  0.416  0.00
Cl  0.663  0.358  0.916  0.00
Cl  0.000  0.672  0.250  0.01
Cl  0.642  0.337  0.584  0.00
Cl  0.672  0.328  0.250  0.01
Cl  0.672  0.000  0.750  0.01
Cl  0.358  0.979  0.916  0.00
Cl  0.642  0.021  0.084  0.00
Cl  0.663  0.979  0.416  0.00
Cl  0.021  0.642  0.584  0.00
Cl  0.328  0.000  0.250  0.01
Cl  0.328  0.672  0.750  0.01
Cl  0.337  0.021  0.584  0.00
Cl  0.980  0.663  0.916  0.00
Cl  0.337  0.642  0.084  0.00
Cl  0.979  0.358  0.416  0.00
Cl  0.000  0.328  0.750  0.01
Cl  0.020  0.337  0.084  0.00
Li  0.667  0.666  0.516  0.00
Li  0.667  0.666  0.831  0.00
Li  0.333  0.334  0.169  0.00
Li  0.334  0.333  0.669  0.00
Li  0.666  0.667  0.016  0.00
Li  0.334  0.333  0.984  0.00
Li  0.333  0.334  0.484  0.00
Li  0.666  0.667  0.331  0.00

Entry 18:
This record from the Alexandria database describes an optimized crystal structure of Li3ErCl6. The functional is PBE-GGA.

Computed properties:
M_tot = 0.00 μB per formula unit
formation energy from raw total energies = -1.96 eV per atom
symmetry = No. 148
excess energy over the best structure of this formula in the dataset = 0.022 eV per atom
crystal system = trigonal

abc: 7.772 7.772 7.772
angles: 91.65 91.65 91.65
Sites, in units of the cell vectors:
Cl  0.446  0.611  0.814
Cl  0.313  0.922  0.096
Cl  0.904  0.687  0.078
Cl  0.078  0.904  0.687
Cl  0.186  0.554  0.389
Cl  0.687  0.078  0.904
Cl  0.611  0.814  0.446
Cl  0.389  0.186  0.554
Cl  0.554  0.389  0.186
Cl  0.922  0.096  0.313
Cl  0.096  0.313  0.922
Cl  0.814  0.446  0.611
Er  0.500  0.500  0.500
Er  0.000  0.000  0.000
Li  0.246  0.562  0.074
Li  0.562  0.074  0.246
Li  0.438  0.926  0.754
Li  0.926  0.754  0.438
Li  0.074  0.246  0.562
Li  0.754  0.438  0.926